Compound: Hf2ScPAu
Source: Alexandria
Functional: PBEsol
Structure: optimized geometry

- ΔH_f (0 K): -0.5 eV/f.u.
- Density: 9.80 g/cm3

Geometry as CIF:
```
data_Hf2ScPAu
_chemical_formula_sum 'Hf2 Sc1 P1 Au1'
_cell_length_a 4.7990
_cell_length_b 4.7990
_cell_length_c 4.6325
_cell_angle_alpha 90.00
_cell_angle_beta 90.00
_cell_angle_gamma 90.00
_symmetry_space_group_name_H-M 'P 4/m m m'
_symmetry_Int_Tables_number 123
_symmetry_space_group_name_Hall '-P 4 2'
loop_
_atom_site_label
_atom_site_type_symbol
_atom_site_fract_x
_atom_site_fract_y
_atom_site_fract_z
_atom_site_occupancy
Hf1 Hf 0.0000 0.5000 0.0000 1
Sc1 Sc 0.0000 0.0000 0.5000 1
P1 P 0.5000 0.5000 0.0000 1
Au1 Au 0.5000 0.5000 0.5000 1
```